Record 1
First-principles (PBE) data for crystalline HgAuI3 at its relaxed geometry, as listed in Alexandria.

Summary:
spin magnetization = 0.0 μB per formula unit
energy relative to the elements, uncorrected = -0.180 eV per atom
E above lowest polymorph = 0.0000 eV/atom

Unit cell a=4.637 b=9.025 c=11.786 alpha=73.60 beta=78.99 gamma=75.95
Sites, in units of the cell vectors:
Hg (0.233, 0.316, 0.315)
Hg (0.767, 0.684, 0.685)
Au (0.352, 0.749, 0.032)
Au (0.648, 0.251, 0.968)
I (0.001, 0.356, 0.780)
I (0.324, 0.762, 0.532)
I (0.327, 0.116, 0.156)
I (0.673, 0.884, 0.844)
I (0.676, 0.238, 0.468)
I (0.999, 0.644, 0.220)

Record 2
First-principles (PBE) data for crystalline Rb2PSeBr5 at its relaxed geometry, as listed in Alexandria.

Summary:
spin magnetization = 0.5 μB per formula unit
energy relative to the elements, uncorrected = -0.749 eV per atom

Unit cell a=7.413 b=7.413 c=7.413 alpha=118.63 beta=118.63 gamma=92.39
Sites, in units of the cell vectors:
Rb (0.000, 0.500, 0.500)
Rb (0.500, 0.000, 0.500)
P (0.266, 0.266, 0.000)
Se (0.487, 0.487, 0.000)
Br (0.015, 0.015, 0.000)
Br (0.017, 0.017, 0.535)
Br (0.017, 0.483, 0.000)
Br (0.483, 0.017, 0.000)
Br (0.483, 0.483, 0.465)

Question: Look up the spin magnetization of the first one.
Answer: 0.0 μB per formula unit

Question: What is the spin magnetization in the second record?
Answer: 0.5 μB per formula unit

Question: Which of these has the highest energy relative to the elements, uncorrected?
Answer: HgAuI3

Question: The lowest spin magnetization belongs to which entry?
Answer: HgAuI3